This record from Alexandria describes a relaxed BeAg2Cl crystal. The functional is PBE.

Calculated values
formation energy (no corrections)	0.14	eV per atom
total moment	0.00	Bohr magnetons per cell
crystal system	tetragonal
excess energy over the best structure of this formula in the dataset	0.253	eV/atom
SG	P4/mmm, No. 123

POSCAR file:
```
BeAg2Cl
1.0
3.105 0.000 0.000
0.000 3.105 0.000
0.000 0.000 6.877
Be Ag Cl
1 2 1
Direct
0.000 0.000 0.000 Be
0.500 0.500 0.204 Ag
0.500 0.500 0.796 Ag
0.000 0.000 0.500 Cl
```

***

This record from Alexandria describes a relaxed KTi2TcOs crystal. The functional is PBE.

Calculated values
ΔH_f (0 K)	878	meV per atom
total moment	0.46	Bohr magnetons per cell
crystal system	tetragonal
SG	P4/mmm, No. 123

POSCAR file:
```
KTi2TcOs
1.0
4.880 0.000 0.000
0.000 4.880 0.000
0.000 0.000 4.860
K Ti Tc Os
1 2 1 1
Direct
0.000 0.000 0.000 K
0.000 0.500 0.500 Ti
0.500 0.000 0.500 Ti
0.500 0.500 0.000 Tc
0.500 0.500 0.500 Os
```

***

This record from Alexandria describes a relaxed K3U3TiTe8 crystal. The functional is PBE.

Calculated values
formation energy (no corrections)	-0.82	eV per atom
total moment	9.00	Bohr magnetons per cell
crystal system	trigonal
SG	R-3m, No. 166

POSCAR file:
```
K3U3TiTe8
1.0
4.330 2.500 8.555
-4.330 2.500 8.555
0.000 -4.999 8.555
K U Ti Te
3 3 1 8
Direct
0.000 0.500 0.500 K
0.500 0.000 0.500 K
0.500 0.500 0.000 K
0.000 0.000 0.500 U
0.000 0.500 0.000 U
0.500 0.000 0.000 U
0.500 0.500 0.500 Ti
0.238 0.238 0.238 Te
0.251 0.724 0.724 Te
0.276 0.276 0.749 Te
0.276 0.749 0.276 Te
0.724 0.251 0.724 Te
0.724 0.724 0.251 Te
0.749 0.276 0.276 Te
0.762 0.762 0.762 Te
```